# 1
A crystal of Li2CrAg relaxed with PBEsol. Source: Alexandria via LeMat-Bulk, functional SCAN.

Results
As for the total energy: -13.553 eV per atom. As for the spin magnetization: 9.30 μB per cell. The formation energy is 0.080 eV per atom. The density of states at the Fermi level comes out at 2.98 states/eV per cell. Its density is 4.51 g cm⁻³.

```
data_Li2CrAg
_symmetry_space_group_name_H-M 'I -4 m 2'
_symmetry_Int_Tables_number 119
_symmetry_space_group_name_Hall 'I -4 -2'
_cell_length_a 4.393
_cell_length_b 4.393
_cell_length_c 6.627
_cell_angle_alpha 90.00
_cell_angle_beta 90.00
_cell_angle_gamma 90.00
loop_
_atom_site_label
_atom_site_fract_x
_atom_site_fract_y
_atom_site_fract_z
Li1 0.000 0.000 0.000
Li2 0.000 0.500 0.250
Cr1 0.000 0.500 0.750
Ag1 0.000 0.000 0.500
```

# 2
A crystal of Mg2CrAg relaxed with PBEsol. Source: Alexandria via LeMat-Bulk, functional SCAN.

Results
As for the total energy: -14.925 eV per atom. As for the spin magnetization: 4.18 μB per cell. The formation energy is 0.000 eV per atom. The density of states at the Fermi level comes out at 1.70 states/eV per cell. Its density is 4.88 g cm⁻³.

```
data_Mg2CrAg
_symmetry_space_group_name_H-M 'P 4/m m m'
_symmetry_Int_Tables_number 123
_symmetry_space_group_name_Hall '-P 4 2'
_cell_length_a 4.203
_cell_length_b 4.203
_cell_length_c 4.020
_cell_angle_alpha 90.00
_cell_angle_beta 90.00
_cell_angle_gamma 90.00
loop_
_atom_site_label
_atom_site_fract_x
_atom_site_fract_y
_atom_site_fract_z
Mg1 0.000 0.500 0.000
Cr1 0.000 0.000 0.500
Ag1 0.500 0.500 0.500
```

# 3
A crystal of Mg2CrAg relaxed with PBEsol. Source: Alexandria via LeMat-Bulk, functional SCAN.

Results
As for the total energy: -14.937 eV per atom. As for the spin magnetization: 8.79 μB per cell. The formation energy is -0.012 eV per atom. The density of states at the Fermi level comes out at 2.83 states/eV per cell. Its density is 4.93 g cm⁻³.

```
data_Mg2CrAg
_symmetry_space_group_name_H-M 'I m m m'
_symmetry_Int_Tables_number 71
_symmetry_space_group_name_Hall '-I 2 2'
_cell_length_a 4.146
_cell_length_b 4.312
_cell_length_c 7.861
_cell_angle_alpha 90.00
_cell_angle_beta 90.00
_cell_angle_gamma 90.00
loop_
_atom_site_label
_atom_site_fract_x
_atom_site_fract_y
_atom_site_fract_z
Mg1 0.000 0.000 0.248
Cr1 0.000 0.500 0.000
Ag1 0.000 0.500 0.500
```

# 4
A crystal of MgCrAg2 relaxed with PBEsol. Source: Alexandria via LeMat-Bulk, functional SCAN.

Results
As for the total energy: -21.528 eV per atom. As for the spin magnetization: 4.29 μB per cell. The formation energy is -0.004 eV per atom. The density of states at the Fermi level comes out at 1.27 states/eV per cell. Its density is 7.18 g cm⁻³.

```
data_MgCrAg2
_symmetry_space_group_name_H-M 'P 4/m m m'
_symmetry_Int_Tables_number 123
_symmetry_space_group_name_Hall '-P 4 2'
_cell_length_a 4.312
_cell_length_b 4.312
_cell_length_c 3.635
_cell_angle_alpha 90.00
_cell_angle_beta 90.00
_cell_angle_gamma 90.00
loop_
_atom_site_label
_atom_site_fract_x
_atom_site_fract_y
_atom_site_fract_z
Mg1 0.000 0.000 0.000
Cr1 0.500 0.500 0.000
Ag1 0.000 0.500 0.500
```

# 5
A crystal of MgCrAg2 relaxed with PBEsol. Source: Alexandria via LeMat-Bulk, functional SCAN.

Results
As for the total energy: -21.474 eV per atom. As for the spin magnetization: 4.29 μB per cell. The formation energy is 0.049 eV per atom. The density of states at the Fermi level comes out at 1.32 states/eV per cell. Its density is 7.12 g cm⁻³.

```
data_MgCrAg2
_symmetry_space_group_name_H-M 'P m m 2'
_symmetry_Int_Tables_number 25
_symmetry_space_group_name_Hall 'P 2 -2'
_cell_length_a 2.996
_cell_length_b 3.966
_cell_length_c 5.731
_cell_angle_alpha 90.00
_cell_angle_beta 90.00
_cell_angle_gamma 90.00
loop_
_atom_site_label
_atom_site_fract_x
_atom_site_fract_y
_atom_site_fract_z
Mg1 0.000 0.000 0.000
Cr1 0.500 0.500 0.728
Ag1 0.000 0.000 0.501
Ag2 0.500 0.500 0.237
```

# 6
A crystal of MnCr4Ag relaxed with PBEsol. Source: Alexandria via LeMat-Bulk, functional SCAN.

Results
As for the total energy: -20.056 eV per atom. As for the spin magnetization: 0.00 μB per cell. The formation energy is 0.471 eV per atom. The density of states at the Fermi level comes out at 8.38 states/eV per cell. Its density is 8.53 g cm⁻³.

```
data_MnCr4Ag
_symmetry_space_group_name_H-M 'F -4 3 m'
_symmetry_Int_Tables_number 216
_symmetry_space_group_name_Hall 'F -4 2 3'
_cell_length_a 6.609
_cell_length_b 6.609
_cell_length_c 6.609
_cell_angle_alpha 90.00
_cell_angle_beta 90.00
_cell_angle_gamma 90.00
loop_
_atom_site_label
_atom_site_fract_x
_atom_site_fract_y
_atom_site_fract_z
Mn1 0.000 0.000 0.000
Cr1 0.124 0.124 0.624
Ag1 0.250 0.250 0.250
```

# 7
A crystal of MnCrAg relaxed with PBEsol. Source: Alexandria via LeMat-Bulk, functional SCAN.

Results
As for the total energy: -22.568 eV per atom. As for the spin magnetization: 0.04 μB per cell. The formation energy is 0.100 eV per atom. The density of states at the Fermi level comes out at 1.50 states/eV per cell. Its density is 8.41 g cm⁻³. As for the distance to the lowest polymorph of the same formula: 0 meV/atom.

```
data_MnCrAg
_symmetry_space_group_name_H-M 'P 3 m 1'
_symmetry_Int_Tables_number 156
_symmetry_space_group_name_Hall 'P 3 -2"'
_cell_length_a 4.2287
_cell_length_b 4.2287
_cell_length_c 2.7404
_cell_angle_alpha 90.00
_cell_angle_beta 90.00
_cell_angle_gamma 120.00
loop_
_atom_site_label
_atom_site_fract_x
_atom_site_fract_y
_atom_site_fract_z
Mn1 0.0000 0.0000 0.0000
Cr1 0.6667 0.3333 0.7925
Ag1 0.3333 0.6667 0.3837
```

# 8
A crystal of MnCrAg relaxed with PBEsol. Source: Alexandria via LeMat-Bulk, functional SCAN.

Results
As for the total energy: -22.189 eV per atom. As for the spin magnetization: 0.61 μB per cell. The formation energy is 0.479 eV per atom. The density of states at the Fermi level comes out at 4.51 states/eV per cell. Its density is 7.04 g cm⁻³. As for the distance to the lowest polymorph of the same formula: 379 meV/atom.

```
data_MnCrAg
_symmetry_space_group_name_H-M 'F -4 3 m'
_symmetry_Int_Tables_number 216
_symmetry_space_group_name_Hall 'F -4 2 3'
_cell_length_a 5.873
_cell_length_b 5.873
_cell_length_c 5.873
_cell_angle_alpha 90.00
_cell_angle_beta 90.00
_cell_angle_gamma 90.00
loop_
_atom_site_label
_atom_site_fract_x
_atom_site_fract_y
_atom_site_fract_z
Mn1 0.000 0.000 0.000
Cr1 0.250 0.250 0.250
Ag1 0.000 0.000 0.500
```

# 9
A crystal of ScMnCrAg2 relaxed with PBEsol. Source: Alexandria via LeMat-Bulk, functional SCAN.

Results
As for the total energy: -21.966 eV per atom. As for the spin magnetization: 7.06 μB per cell. The formation energy is 0.757 eV per atom. The density of states at the Fermi level comes out at 2.84 states/eV per cell. Its density is 6.05 g cm⁻³.

```
data_ScMnCrAg2
_symmetry_space_group_name_H-M 'P 4/m m m'
_symmetry_Int_Tables_number 123
_symmetry_space_group_name_Hall '-P 4 2'
_cell_length_a 4.815
_cell_length_b 4.815
_cell_length_c 4.356
_cell_angle_alpha 90.00
_cell_angle_beta 90.00
_cell_angle_gamma 90.00
loop_
_atom_site_label
_atom_site_fract_x
_atom_site_fract_y
_atom_site_fract_z
Sc1 0.000 0.000 0.000
Mn1 0.000 0.000 0.500
Cr1 0.500 0.500 0.000
Ag1 0.000 0.500 0.500
```

# 10
A crystal of CrAgMo2 relaxed with PBEsol. Source: Alexandria via LeMat-Bulk, functional SCAN.

Results
As for the total energy: -29.319 eV per atom. As for the spin magnetization: 0.01 μB per cell. The formation energy is 0.562 eV per atom. The density of states at the Fermi level comes out at 6.23 states/eV per cell. Its density is 10.03 g cm⁻³. As for the distance to the lowest polymorph of the same formula: 204 meV/atom.

```
data_CrAgMo2
_symmetry_space_group_name_H-M 'C m m m'
_symmetry_Int_Tables_number 65
_symmetry_space_group_name_Hall '-C 2 2'
_cell_length_a 5.401
_cell_length_b 8.354
_cell_length_c 2.581
_cell_angle_alpha 90.00
_cell_angle_beta 90.00
_cell_angle_gamma 90.00
loop_
_atom_site_label
_atom_site_fract_x
_atom_site_fract_y
_atom_site_fract_z
Cr1 0.000 0.000 0.000
Ag1 0.000 0.500 0.000
Mo1 0.250 0.250 0.500
```

# 11
A crystal of CrAgMo2 relaxed with PBEsol. Source: Alexandria via LeMat-Bulk, functional SCAN.

Results
As for the total energy: -29.296 eV per atom. As for the spin magnetization: 0.00 μB per cell. The formation energy is 0.585 eV per atom. The density of states at the Fermi level comes out at 3.14 states/eV per cell. Its density is 9.92 g cm⁻³. As for the distance to the lowest polymorph of the same formula: 227 meV/atom.

```
data_CrAgMo2
_symmetry_space_group_name_H-M 'P m m 2'
_symmetry_Int_Tables_number 25
_symmetry_space_group_name_Hall 'P 2 -2'
_cell_length_a 2.551
_cell_length_b 4.181
_cell_length_c 5.517
_cell_angle_alpha 90.00
_cell_angle_beta 90.00
_cell_angle_gamma 90.00
loop_
_atom_site_label
_atom_site_fract_x
_atom_site_fract_y
_atom_site_fract_z
Cr1 0.000 0.000 0.000
Ag1 0.500 0.500 0.748
Mo1 0.000 0.000 0.488
Mo2 0.500 0.500 0.234
```

# 12
A crystal of Cr3AgMo relaxed with PBEsol. Source: Alexandria via LeMat-Bulk, functional SCAN.

Results
As for the total energy: -23.018 eV per atom. As for the spin magnetization: 9.08 μB per cell. The formation energy is 1.264 eV per atom. The density of states at the Fermi level comes out at 2.04 states/eV per cell. Its density is 6.25 g cm⁻³.

```
data_Cr3AgMo
_symmetry_space_group_name_H-M 'P m -3 m'
_symmetry_Int_Tables_number 221
_symmetry_space_group_name_Hall '-P 4 2 3'
_cell_length_a 4.572
_cell_length_b 4.572
_cell_length_c 4.572
_cell_angle_alpha 90.00
_cell_angle_beta 90.00
_cell_angle_gamma 90.00
loop_
_atom_site_label
_atom_site_fract_x
_atom_site_fract_y
_atom_site_fract_z
Cr1 0.000 0.000 0.500
Ag1 0.500 0.500 0.500
Mo1 0.000 0.000 0.000
```

- Among the records above, which one has the lowest total energy?
  number 10